## P
First-principles (PBE) data for a relaxed structure of PmBPt, as listed in Alexandria.

Cell lengths 3.772, 3.772, 4.386 Å; angles 90.00, 90.00, 120.00 degrees
Fractional coordinates of all 3 atoms:
Pm: 0.000 0.000 0.000
B: 0.333 0.667 0.498
Pt: 0.667 0.333 0.500

Space-group type: P3m1 (156)

## Q
First-principles (PBE) data for a relaxed structure of PmBPt, as listed in Alexandria.

Cell lengths 3.785, 3.785, 7.853 Å; angles 90.00, 90.00, 90.00 degrees
Fractional coordinates of all 6 atoms:
Pm: 0.250 0.250 0.186
Pm: 0.750 0.750 0.814
B: 0.250 0.250 0.665
B: 0.750 0.750 0.335
Pt: 0.250 0.750 0.500
Pt: 0.750 0.250 0.500

Space-group type: P4/nmm (129)

P is preferred energetically. Next in line: 207 meV/atom higher.

## P
First-principles (PBE) data for a relaxed structure of PmReB2, as listed in Alexandria.

Cell lengths 6.036, 5.404, 6.562 Å; angles 90.00, 90.00, 90.00 degrees
Fractional coordinates of all 16 atoms:
Pm: 0.012 0.250 0.158
Pm: 0.488 0.750 0.658
Pm: 0.512 0.250 0.342
Pm: 0.988 0.750 0.842
Re: 0.180 0.250 0.686
Re: 0.320 0.750 0.186
Re: 0.680 0.250 0.814
Re: 0.820 0.750 0.314
B: 0.127 0.577 0.461
B: 0.127 0.923 0.461
B: 0.373 0.077 0.961
B: 0.373 0.423 0.961
B: 0.627 0.577 0.039
B: 0.627 0.923 0.039
B: 0.873 0.077 0.539
B: 0.873 0.423 0.539

Space-group type: Pnma (62)

## Q
First-principles (PBE) data for a relaxed structure of PmReB2, as listed in Alexandria.

Cell lengths 3.421, 3.421, 17.066 Å; angles 90.00, 90.00, 120.00 degrees
Fractional coordinates of all 12 atoms:
Pm: 0.000 0.000 0.000
Pm: 0.333 0.667 0.667
Pm: 0.667 0.333 0.333
Re: 0.000 0.000 0.500
Re: 0.333 0.667 0.167
Re: 0.667 0.333 0.833
B: 0.000 0.000 0.227
B: 0.000 0.000 0.773
B: 0.333 0.667 0.440
B: 0.333 0.667 0.893
B: 0.667 0.333 0.107
B: 0.667 0.333 0.560

Space-group type: R-3m (166)

## R
First-principles (PBE) data for a relaxed structure of PmReB2, as listed in Alexandria.

Cell lengths 5.548, 4.240, 10.446 Å; angles 90.00, 90.00, 90.00 degrees
Fractional coordinates of all 16 atoms:
Pm: 0.001 0.250 0.139
Pm: 0.499 0.750 0.639
Pm: 0.501 0.250 0.361
Pm: 0.999 0.750 0.861
Re: 0.001 0.750 0.397
Re: 0.499 0.250 0.897
Re: 0.501 0.750 0.103
Re: 0.999 0.250 0.603
B: 0.001 0.250 0.393
B: 0.249 0.250 0.750
B: 0.251 0.750 0.250
B: 0.499 0.750 0.893
B: 0.501 0.250 0.107
B: 0.749 0.250 0.750
B: 0.751 0.750 0.250
B: 0.999 0.750 0.607

Space-group type: Pnma (62)

P is preferred energetically. Next in line: 93 meV/atom higher.

## P
First-principles (PBE) data for a relaxed structure of PmReB3, as listed in Alexandria.

Cell lengths 11.191, 11.191, 3.088 Å; angles 90.00, 90.00, 161.36 degrees
Fractional coordinates of all 10 atoms:
Pm: 0.083 0.917 0.750
Pm: 0.917 0.083 0.250
Re: 0.210 0.790 0.250
Re: 0.790 0.210 0.750
B: 0.312 0.688 0.250
B: 0.346 0.654 0.750
B: 0.489 0.511 0.750
B: 0.511 0.489 0.250
B: 0.654 0.346 0.250
B: 0.688 0.312 0.750

Space-group type: Cmcm (63)

## Q
First-principles (PBE) data for a relaxed structure of PmReB3, as listed in Alexandria.

Cell lengths 5.893, 5.893, 5.992 Å; angles 96.80, 96.80, 132.93 degrees
Fractional coordinates of all 10 atoms:
Pm: 0.174 0.826 0.750
Pm: 0.826 0.174 0.250
Re: 0.482 0.518 0.750
Re: 0.518 0.482 0.250
B: 0.110 0.890 0.250
B: 0.189 0.393 0.975
B: 0.393 0.189 0.475
B: 0.607 0.811 0.525
B: 0.811 0.607 0.025
B: 0.890 0.110 0.750

Space-group type: C2/c (15)

P is preferred energetically. Next in line: 214 meV/atom higher.

## P
First-principles (PBE) data for a relaxed structure of PmB2Rh2, as listed in Alexandria.

Cell lengths 3.969, 3.969, 12.298 Å; angles 90.00, 90.00, 90.00 degrees
Fractional coordinates of all 10 atoms:
Pm: 0.000 0.000 0.000
Pm: 0.500 0.500 0.500
B: 0.000 0.000 0.200
B: 0.000 0.000 0.800
B: 0.500 0.500 0.300
B: 0.500 0.500 0.700
Rh: 0.000 0.500 0.250
Rh: 0.000 0.500 0.750
Rh: 0.500 0.000 0.250
Rh: 0.500 0.000 0.750

Space-group type: I4/mmm (139)

## Q
First-principles (PBE) data for a relaxed structure of PmB2Rh2, as listed in Alexandria.

Cell lengths 6.915, 6.005, 5.589 Å; angles 73.13, 56.21, 50.66 degrees
Fractional coordinates of all 10 atoms:
Pm: 0.125 0.125 0.125
Pm: 0.875 0.875 0.875
B: 0.194 0.556 0.194
B: 0.444 0.806 0.444
B: 0.556 0.194 0.556
B: 0.806 0.444 0.806
Rh: 0.242 0.242 0.508
Rh: 0.492 0.492 0.758
Rh: 0.508 0.508 0.242
Rh: 0.758 0.758 0.492

Space-group type: Fddd (70)

Q is preferred energetically. Next in line: 612 meV/atom higher.

## P
First-principles (PBE) data for a relaxed structure of Pm2BRh6, as listed in Alexandria.

Cell lengths 7.529, 7.529, 3.046 Å; angles 90.00, 90.00, 120.00 degrees
Fractional coordinates of all 9 atoms:
Pm: 0.333 0.667 0.000
Pm: 0.667 0.333 0.000
B: 0.000 0.000 0.500
Rh: 0.000 0.217 0.000
Rh: 0.000 0.645 0.500
Rh: 0.217 0.000 0.000
Rh: 0.355 0.355 0.500
Rh: 0.645 0.000 0.500
Rh: 0.783 0.783 0.000

Space-group type: P-62m (189)

## Q
First-principles (PBE) data for a relaxed structure of Pm2BRh6, as listed in Alexandria.

Cell lengths 5.888, 5.888, 5.888 Å; angles 60.00, 60.00, 60.00 degrees
Fractional coordinates of all 9 atoms:
Pm: 0.250 0.250 0.250
Pm: 0.750 0.750 0.750
B: 0.000 0.000 0.000
Rh: 0.257 0.257 0.743
Rh: 0.257 0.743 0.257
Rh: 0.257 0.743 0.743
Rh: 0.743 0.257 0.257
Rh: 0.743 0.257 0.743
Rh: 0.743 0.743 0.257

Space-group type: Fm-3m (225)

Q is preferred energetically. Next in line: 479 meV/atom higher.

## P
First-principles (PBE) data for a relaxed structure of PmB4Rh6, as listed in Alexandria.

Cell lengths 5.801, 5.801, 5.801 Å; angles 120.65, 120.65, 88.87 degrees
Fractional coordinates of all 11 atoms:
Pm: 0.000 0.000 0.000
B: 0.280 0.280 0.707
B: 0.427 0.720 0.000
B: 0.573 0.573 0.293
B: 0.720 0.427 0.000
Rh: 0.000 0.500 0.500
Rh: 0.107 0.475 0.000
Rh: 0.475 0.107 0.000
Rh: 0.500 0.000 0.500
Rh: 0.525 0.525 0.632
Rh: 0.893 0.893 0.368

Space-group type: I-42m (121)

## Q
First-principles (PBE) data for a relaxed structure of PmB4Rh6, as listed in Alexandria.

Cell lengths 6.735, 6.735, 3.460 Å; angles 90.00, 90.00, 120.00 degrees
Fractional coordinates of all 11 atoms:
Pm: 0.000 0.000 0.000
B: 0.333 0.667 0.000
B: 0.411 0.206 0.500
B: 0.794 0.206 0.500
B: 0.794 0.589 0.500
Rh: 0.199 0.397 0.500
Rh: 0.199 0.801 0.500
Rh: 0.537 0.073 0.000
Rh: 0.537 0.463 0.000
Rh: 0.603 0.801 0.500
Rh: 0.927 0.463 0.000

Space-group type: P-6m2 (187)

Q is preferred energetically. Next in line: 23 meV/atom higher.

## P
First-principles (PBE) data for a relaxed structure of Pm2BRh4, as listed in Alexandria.

Cell lengths 4.247, 4.247, 14.105 Å; angles 90.00, 90.00, 90.00 degrees
Fractional coordinates of all 14 atoms:
Pm: 0.000 0.000 0.152
Pm: 0.000 0.000 0.848
Pm: 0.500 0.500 0.348
Pm: 0.500 0.500 0.652
B: 0.000 0.000 0.500
B: 0.500 0.500 0.000
Rh: 0.000 0.000 0.355
Rh: 0.000 0.000 0.645
Rh: 0.000 0.500 0.000
Rh: 0.000 0.500 0.500
Rh: 0.500 0.000 0.000
Rh: 0.500 0.000 0.500
Rh: 0.500 0.500 0.145
Rh: 0.500 0.500 0.855

Space-group type: I4/mmm (139)

## Q
First-principles (PBE) data for a relaxed structure of Pm2BRh4, as listed in Alexandria.

Cell lengths 5.896, 5.894, 5.583 Å; angles 61.75, 61.71, 56.54 degrees
Fractional coordinates of all 7 atoms:
Pm: 0.250 0.250 0.250
Pm: 0.750 0.750 0.750
B: 0.000 0.000 0.000
Rh: 0.260 0.740 0.260
Rh: 0.260 0.740 0.740
Rh: 0.740 0.260 0.260
Rh: 0.740 0.260 0.740

Space-group type: Fmmm (69)

P is preferred energetically. Next in line: 87 meV/atom higher.

## P
First-principles (PBE) data for a relaxed structure of PmB2Ru3, as listed in Alexandria.

Cell lengths 6.339, 6.339, 6.339 Å; angles 122.51, 81.10, 128.11 degrees
Fractional coordinates of all 12 atoms:
Pm: 0.499 0.249 0.250
Pm: 0.501 0.751 0.750
B: 0.166 0.250 0.916
B: 0.167 0.750 0.416
B: 0.833 0.250 0.584
B: 0.834 0.750 0.084
Ru: 0.000 0.000 0.500
Ru: 0.000 0.250 0.250
Ru: 0.000 0.500 0.000
Ru: 0.000 0.750 0.750
Ru: 0.500 0.250 0.750
Ru: 0.500 0.750 0.250

Space-group type: Imma (74)

## Q
First-principles (PBE) data for a relaxed structure of PmB2Ru3, as listed in Alexandria.

Cell lengths 8.932, 8.932, 3.588 Å; angles 90.00, 90.00, 120.00 degrees
Fractional coordinates of all 18 atoms:
Pm: 0.000 0.000 0.000
Pm: 0.333 0.667 0.500
Pm: 0.667 0.333 0.500
B: 0.190 0.380 0.000
B: 0.190 0.810 0.000
B: 0.380 0.190 0.000
B: 0.620 0.810 0.000
B: 0.810 0.190 0.000
B: 0.810 0.620 0.000
Ru: 0.000 0.284 0.500
Ru: 0.000 0.500 0.000
Ru: 0.000 0.716 0.500
Ru: 0.284 0.000 0.500
Ru: 0.284 0.284 0.500
Ru: 0.500 0.000 0.000
Ru: 0.500 0.500 0.000
Ru: 0.716 0.000 0.500
Ru: 0.716 0.716 0.500

Space-group type: P6/mmm (191)

P is preferred energetically. Next in line: 245 meV/atom higher.

## P
First-principles (PBE) data for a relaxed structure of PmB4Ru, as listed in Alexandria.

Cell lengths 3.187, 5.390, 7.526 Å; angles 90.00, 90.00, 90.00 degrees
Fractional coordinates of all 12 atoms:
Pm: 0.000 0.000 0.000
Pm: 0.500 0.500 0.500
B: 0.000 0.335 0.248
B: 0.000 0.335 0.752
B: 0.000 0.665 0.248
B: 0.000 0.665 0.752
B: 0.500 0.165 0.252
B: 0.500 0.165 0.748
B: 0.500 0.835 0.252
B: 0.500 0.835 0.748
Ru: 0.000 0.000 0.500
Ru: 0.500 0.500 0.000

Space-group type: Immm (71)

## Q
First-principles (PBE) data for a relaxed structure of PmB4Ru, as listed in Alexandria.

Cell lengths 6.039, 11.685, 3.622 Å; angles 90.00, 90.00, 90.00 degrees
Fractional coordinates of all 24 atoms:
Pm: 0.127 0.150 0.000
Pm: 0.373 0.650 0.000
Pm: 0.627 0.350 0.000
Pm: 0.873 0.850 0.000
B: 0.025 0.690 0.500
B: 0.111 0.546 0.500
B: 0.139 0.969 0.500
B: 0.216 0.816 0.500
B: 0.284 0.316 0.500
B: 0.361 0.469 0.500
B: 0.389 0.046 0.500
B: 0.475 0.190 0.500
B: 0.525 0.810 0.500
B: 0.611 0.954 0.500
B: 0.639 0.531 0.500
B: 0.716 0.684 0.500
B: 0.784 0.184 0.500
B: 0.861 0.031 0.500
B: 0.889 0.454 0.500
B: 0.975 0.310 0.500
Ru: 0.139 0.408 0.000
Ru: 0.361 0.908 0.000
Ru: 0.639 0.092 0.000
Ru: 0.861 0.592 0.000

Space-group type: Pbam (55)

Q is preferred energetically. Next in line: 470 meV/atom higher.

## P
First-principles (PBE) data for a relaxed structure of PmB2Ru2, as listed in Alexandria.

Cell lengths 4.024, 4.024, 9.611 Å; angles 90.00, 90.00, 90.00 degrees
Fractional coordinates of all 10 atoms:
Pm: 0.000 0.000 0.000
Pm: 0.500 0.500 0.500
B: 0.000 0.000 0.318
B: 0.000 0.000 0.682
B: 0.500 0.500 0.182
B: 0.500 0.500 0.818
Ru: 0.000 0.500 0.250
Ru: 0.000 0.500 0.750
Ru: 0.500 0.000 0.250
Ru: 0.500 0.000 0.750

Space-group type: I4/mmm (139)

## Q
First-principles (PBE) data for a relaxed structure of PmB2Ru2, as listed in Alexandria.

Cell lengths 5.613, 5.613, 5.957 Å; angles 108.74, 108.74, 108.40 degrees
Fractional coordinates of all 10 atoms:
Pm: 0.125 0.875 0.750
Pm: 0.875 0.125 0.250
B: 0.191 0.809 0.250
B: 0.441 0.559 0.750
B: 0.559 0.441 0.250
B: 0.809 0.191 0.750
Ru: 0.238 0.487 0.976
Ru: 0.487 0.238 0.476
Ru: 0.513 0.762 0.524
Ru: 0.762 0.513 0.024

Space-group type: C2/c (15)

Q is preferred energetically. Next in line: 59 meV/atom higher.